Compound: Al2FeCF
Source: the Alexandria database
Functional: PBE with a Hubbard U
Structure: optimized geometry

**Calculated volume**: 14.012 A^3/atom
**Electronic total energy**: -4.39 eV/atom
**Crystal system**: tetragonal

Cell lengths 4.4515, 4.4515, 3.5355 Å; angles 90.00, 90.00, 90.00 degrees
Space group P4/mmm (No. 123)
Inequivalent atoms, fractional coordinates:
Al1 0.0000 0.5000 0.0000
Fe1 0.0000 0.0000 0.0000
C1 0.0000 0.0000 0.5000
F1 0.5000 0.5000 0.5000